[1]
First-principles (meta-GGA SCAN) data for Fe2CoRh at its PBEsol-relaxed geometry, as listed in the Alexandria database.

The space group is P4mm (No. 99) and the conventional cell measures 2.831, 2.831 and 5.891 Å, with angles of 90.00, 90.00 and 90.00 degrees. The distinct sites, in fractional coordinates, are Fe at (0.000, 0.000, 0.000), Fe at (0.500, 0.500, 0.243), Co at (0.500, 0.500, 0.777) and Rh at (0.000, 0.000, 0.502).

The density of states at the Fermi level comes out at 1.966 states/eV per cell. The value obtained for the offset from the most stable computed form is 33 meV/atom.

=====

[2]
First-principles (meta-GGA SCAN) data for FeCo2Rh at its PBEsol-relaxed geometry, as listed in the Alexandria database.

The space group is I-4m2 (No. 119) and the conventional cell measures 3.570, 3.570 and 7.168 Å, with angles of 90.00, 90.00 and 90.00 degrees. The distinct sites, in fractional coordinates, are Fe at (0.000, 0.000, 0.000), Co at (0.000, 0.000, 0.500), Co at (0.000, 0.500, 0.250) and Rh at (0.000, 0.500, 0.750).

The density of states at the Fermi level comes out at 5.312 states/eV per cell. The value obtained for the offset from the most stable computed form is 79 meV/atom.

=====

Calculated DFT formation energy (eV/atom), listed in the same order as above: -0.15; -0.04
Calculated total moment (μB per formula unit), listed in the same order as above: 8.59; 7.42